1.
# Pm3Dy4Cd4 PBE relaxed
data_Pm3Dy4Cd4
_chemical_formula_sum 'Pm6 Dy8 Cd8'
_space_group_name_H-M_alt 'I m m m'
_space_group_IT_number 71
_space_group_name_Hall '-I 2 2'
_cell_length_a 5.337
_cell_length_b 7.208
_cell_length_c 17.037
_cell_angle_alpha 90.00
_cell_angle_beta 90.00
_cell_angle_gamma 90.00
loop_
_atom_site_label
_atom_site_fract_x
_atom_site_fract_y
_atom_site_fract_z
Pm1 0.000 0.000 0.000
Pm2 0.000 0.500 0.105
Dy1 0.000 0.267 0.319
Cd1 0.000 0.000 0.182
Cd2 0.000 0.203 0.500
# - formation energy (eV per atom) = -0.1091
# - ρ (g/cm³) = 7.78

---

2.
# Pm3DyCd2 PBE relaxed
data_Pm3DyCd2
_chemical_formula_sum 'Pm3 Dy1 Cd2'
_space_group_name_H-M_alt 'P 4/m m m'
_space_group_IT_number 123
_space_group_name_Hall '-P 4 2'
_cell_length_a 3.745
_cell_length_b 3.745
_cell_length_c 12.775
_cell_angle_alpha 90.00
_cell_angle_beta 90.00
_cell_angle_gamma 90.00
loop_
_atom_site_label
_atom_site_fract_x
_atom_site_fract_y
_atom_site_fract_z
Pm1 0.000 0.000 0.000
Pm2 0.000 0.000 0.310
Dy1 0.500 0.500 0.500
Cd1 0.500 0.500 0.156
# - formation energy (eV per atom) = -0.1940
# - ρ (g/cm³) = 7.62

---

3.
# Pm3Dy2Cd6 PBE relaxed
data_Pm3Dy2Cd6
_chemical_formula_sum 'Pm6 Dy4 Cd12'
_space_group_name_H-M_alt 'I 4/m m m'
_space_group_IT_number 139
_space_group_name_Hall '-I 4 2'
_cell_length_a 4.182
_cell_length_b 4.182
_cell_length_c 37.284
_cell_angle_alpha 90.00
_cell_angle_beta 90.00
_cell_angle_gamma 90.00
loop_
_atom_site_label
_atom_site_fract_x
_atom_site_fract_y
_atom_site_fract_z
Pm1 0.000 0.000 0.000
Pm2 0.000 0.000 0.186
Dy1 0.000 0.000 0.366
Cd1 0.000 0.000 0.274
Cd2 0.000 0.500 0.068
# - formation energy (eV per atom) = 0.0031
# - ρ (g/cm³) = 7.31

---

4.
# PmDyCd PBE relaxed
data_PmDyCd
_chemical_formula_sum 'Pm2 Dy2 Cd2'
_space_group_name_H-M_alt 'I -4 m 2'
_space_group_IT_number 119
_space_group_name_Hall 'I -4 -2'
_cell_length_a 5.206
_cell_length_b 5.206
_cell_length_c 7.353
_cell_angle_alpha 90.00
_cell_angle_beta 90.00
_cell_angle_gamma 90.00
loop_
_atom_site_label
_atom_site_fract_x
_atom_site_fract_y
_atom_site_fract_z
Pm1 0.000 0.000 0.000
Dy1 0.000 0.000 0.500
Cd1 0.000 0.500 0.750
# - formation energy (eV per atom) = 0.0945
# - ρ (g/cm³) = 7.00
# - excess energy over the best structure of this formula in the dataset (kcal/mol of atoms) = 6.705

---

5.
# Pm2DyCd PBE relaxed
data_Pm2DyCd
_chemical_formula_sum 'Pm8 Dy4 Cd4'
_space_group_name_H-M_alt 'C 1 2/m 1'
_space_group_IT_number 12
_cell_length_a 7.338
_cell_length_b 7.338
_cell_length_c 9.752
_cell_angle_alpha 90.00
_cell_angle_beta 112.09
_cell_angle_gamma 90.00
loop_
_space_group_symop_operation_xyz
'x,y,z'
'-x,-y,-z'
'-x,y,-z'
'x,-y,z'
'x+1/2,y+1/2,z'
'-x+1/2,-y+1/2,-z'
'-x+1/2,y+1/2,-z'
'x+1/2,-y+1/2,z'
loop_
_atom_site_label
_atom_site_fract_x
_atom_site_fract_y
_atom_site_fract_z
Pm1 0.136 0.000 0.272
Pm2 0.250 0.250 0.000
Dy1 0.140 0.500 0.281
Cd1 0.000 0.249 0.500
# - formation energy (eV per atom) = -0.1536
# - ρ (g/cm³) = 7.71
# - excess energy over the best structure of this formula in the dataset (kcal/mol of atoms) = 0.000

---

6.
# PmDy14Cd PBE relaxed
data_PmDy14Cd
_chemical_formula_sum 'Pm2 Dy28 Cd2'
_space_group_name_H-M_alt 'A m m 2'
_space_group_IT_number 38
_cell_length_a 11.231
_cell_length_b 7.157
_cell_length_c 12.389
_cell_angle_alpha 90.00
_cell_angle_beta 90.00
_cell_angle_gamma 90.00
loop_
_space_group_symop_operation_xyz
'x,y,z'
'-x,-y,z'
'-x,y,z'
'x,-y,z'
'x,y+1/2,z+1/2'
'-x,-y+1/2,z+1/2'
'-x,y+1/2,z+1/2'
'x,-y+1/2,z+1/2'
loop_
_atom_site_label
_atom_site_fract_x
_atom_site_fract_y
_atom_site_fract_z
Pm1 0.000 0.000 0.000
Dy1 0.000 0.241 0.759
Dy2 0.243 0.000 0.342
Dy3 0.245 0.249 0.592
Dy4 0.255 0.000 0.841
Dy5 0.500 0.000 0.011
Dy6 0.500 0.000 0.509
Dy7 0.500 0.248 0.258
Cd1 0.000 0.000 0.508
# - formation energy (eV per atom) = -0.0186
# - ρ (g/cm³) = 8.45

---

7.
# Pm5DyCd4 PBE relaxed
data_Pm5DyCd4
_chemical_formula_sum 'Pm5 Dy1 Cd4'
_space_group_name_H-M_alt 'P 4/m m m'
_space_group_IT_number 123
_space_group_name_Hall '-P 4 2'
_cell_length_a 3.777
_cell_length_b 3.777
_cell_length_c 20.477
_cell_angle_alpha 90.00
_cell_angle_beta 90.00
_cell_angle_gamma 90.00
loop_
_atom_site_label
_atom_site_fract_x
_atom_site_fract_y
_atom_site_fract_z
Pm1 0.000 0.000 0.000
Pm2 0.000 0.000 0.190
Pm3 0.000 0.000 0.382
Dy1 0.500 0.500 0.500
Cd1 0.500 0.500 0.095
Cd2 0.500 0.500 0.287
# - formation energy (eV per atom) = -0.2427
# - ρ (g/cm³) = 7.60

---

8.
# Pm3DyCd PBE relaxed
data_Pm3DyCd
_chemical_formula_sum 'Pm6 Dy2 Cd2'
_space_group_name_H-M_alt 'P -1'
_space_group_IT_number 2
_cell_length_a 3.734
_cell_length_b 6.809
_cell_length_c 12.879
_cell_angle_alpha 86.52
_cell_angle_beta 90.00
_cell_angle_gamma 74.09
loop_
_space_group_symop_operation_xyz
'x,y,z'
'-x,-y,-z'
loop_
_atom_site_label
_atom_site_fract_x
_atom_site_fract_y
_atom_site_fract_z
Pm1 0.040 0.420 0.190
Pm2 0.146 0.208 0.445
Pm3 0.365 0.769 0.026
Dy1 0.228 0.046 0.752
Cd1 0.439 0.622 0.371
# - formation energy (eV per atom) = -0.1096
# - ρ (g/cm³) = 7.50
# - excess energy over the best structure of this formula in the dataset (kcal/mol of atoms) = 0.000

---

9.
# Pm5Dy4Cd2 PBE relaxed
data_Pm5Dy4Cd2
_chemical_formula_sum 'Pm5 Dy4 Cd2'
_space_group_name_H-M_alt 'P 1 2/m 1'
_space_group_IT_number 10
_cell_length_a 8.855
_cell_length_b 3.554
_cell_length_c 10.994
_cell_angle_alpha 90.00
_cell_angle_beta 93.91
_cell_angle_gamma 90.00
loop_
_space_group_symop_operation_xyz
'x,y,z'
'-x,-y,-z'
'-x,y,-z'
'x,-y,z'
loop_
_atom_site_label
_atom_site_fract_x
_atom_site_fract_y
_atom_site_fract_z
Pm1 0.000 0.000 0.000
Pm2 0.047 0.000 0.326
Pm3 0.302 0.000 0.840
Dy1 0.270 0.500 0.557
Dy2 0.343 0.500 0.123
Cd1 0.430 0.000 0.360
# - formation energy (eV per atom) = 0.0001
# - ρ (g/cm³) = 7.70

---

10.
# Pm2Dy3Cd PBE relaxed
data_Pm2Dy3Cd
_chemical_formula_sum 'Pm4 Dy6 Cd2'
_space_group_name_H-M_alt 'I m m 2'
_space_group_IT_number 44
_cell_length_a 6.370
_cell_length_b 10.245
_cell_length_c 5.792
_cell_angle_alpha 90.00
_cell_angle_beta 90.00
_cell_angle_gamma 90.00
loop_
_space_group_symop_operation_xyz
'x,y,z'
'-x,-y,z'
'-x,y,z'
'x,-y,z'
'x+1/2,y+1/2,z+1/2'
'-x+1/2,-y+1/2,z+1/2'
'-x+1/2,y+1/2,z+1/2'
'x+1/2,-y+1/2,z+1/2'
loop_
_atom_site_label
_atom_site_fract_x
_atom_site_fract_y
_atom_site_fract_z
Pm1 0.000 0.179 0.000
Dy1 0.000 0.000 0.500
Dy2 0.000 0.343 0.501
Cd1 0.000 0.500 0.001
# - formation energy (eV per atom) = 0.2739
# - ρ (g/cm³) = 7.82
# - excess energy over the best structure of this formula in the dataset (kcal/mol of atoms) = 8.556

---

11.
# Pm4Dy9Cd11 PBE relaxed
data_Pm4Dy9Cd11
_chemical_formula_sum 'Pm8 Dy18 Cd22'
_space_group_name_H-M_alt 'C m m m'
_space_group_IT_number 65
_space_group_name_Hall '-C 2 2'
_cell_length_a 16.052
_cell_length_b 22.886
_cell_length_c 3.536
_cell_angle_alpha 90.00
_cell_angle_beta 90.00
_cell_angle_gamma 90.00
loop_
_atom_site_label
_atom_site_fract_x
_atom_site_fract_y
_atom_site_fract_z
Pm1 0.167 0.083 0.000
Dy1 0.000 0.000 0.000
Dy2 0.111 0.404 0.000
Dy3 0.115 0.230 0.000
Cd1 0.000 0.131 0.500
Cd2 0.000 0.317 0.500
Cd3 0.000 0.500 0.500
Cd4 0.205 0.500 0.500
Cd5 0.229 0.318 0.500
# - formation energy (eV per atom) = -0.2371
# - ρ (g/cm³) = 8.38

---

12.
# Pm5Dy4Cd PBE relaxed
data_Pm5Dy4Cd
_chemical_formula_sum 'Pm5 Dy4 Cd1'
_space_group_name_H-M_alt 'P 4/m m m'
_space_group_IT_number 123
_space_group_name_Hall '-P 4 2'
_cell_length_a 3.621
_cell_length_b 3.621
_cell_length_c 24.405
_cell_angle_alpha 90.00
_cell_angle_beta 90.00
_cell_angle_gamma 90.00
loop_
_atom_site_label
_atom_site_fract_x
_atom_site_fract_y
_atom_site_fract_z
Pm1 0.000 0.000 0.000
Pm2 0.000 0.000 0.206
Pm3 0.000 0.000 0.413
Dy1 0.500 0.500 0.103
Dy2 0.500 0.500 0.310
Cd1 0.500 0.500 0.500
# - formation energy (eV per atom) = -0.0471
# - ρ (g/cm³) = 7.72

---

13.
# PmDyCd4 PBE relaxed
data_PmDyCd4
_chemical_formula_sum 'Pm4 Dy4 Cd16'
_space_group_name_H-M_alt 'F -4 3 m'
_space_group_IT_number 216
_space_group_name_Hall 'F -4 2 3'
_cell_length_a 8.406
_cell_length_b 8.406
_cell_length_c 8.406
_cell_angle_alpha 90.00
_cell_angle_beta 90.00
_cell_angle_gamma 90.00
loop_
_atom_site_label
_atom_site_fract_x
_atom_site_fract_y
_atom_site_fract_z
Pm1 0.000 0.000 0.000
Dy1 0.250 0.250 0.750
Cd1 0.125 0.125 0.375
# - formation energy (eV per atom) = -0.2720
# - ρ (g/cm³) = 8.47
# - excess energy over the best structure of this formula in the dataset (kcal/mol of atoms) = 1.322

---

14.
# Pm2DyCd PBE relaxed
data_Pm2DyCd
_chemical_formula_sum 'Pm2 Dy1 Cd1'
_space_group_name_H-M_alt 'P 4/m m m'
_space_group_IT_number 123
_space_group_name_Hall '-P 4 2'
_cell_length_a 3.686
_cell_length_b 3.686
_cell_length_c 9.027
_cell_angle_alpha 90.00
_cell_angle_beta 90.00
_cell_angle_gamma 90.00
loop_
_atom_site_label
_atom_site_fract_x
_atom_site_fract_y
_atom_site_fract_z
Pm1 0.000 0.000 0.227
Dy1 0.500 0.500 0.500
Cd1 0.500 0.500 0.000
# - formation energy (eV per atom) = -0.1391
# - ρ (g/cm³) = 7.65
# - excess energy over the best structure of this formula in the dataset (kcal/mol of atoms) = 0.334

---

15.
# Pm3Dy5Cd2 PBE relaxed
data_Pm3Dy5Cd2
_chemical_formula_sum 'Pm12 Dy20 Cd8'
_space_group_name_H-M_alt 'I b a m'
_space_group_IT_number 72
_space_group_name_Hall '-I 2 2c'
_cell_length_a 13.286
_cell_length_b 14.648
_cell_length_c 6.649
_cell_angle_alpha 90.00
_cell_angle_beta 90.00
_cell_angle_gamma 90.00
loop_
_atom_site_label
_atom_site_fract_x
_atom_site_fract_y
_atom_site_fract_z
Pm1 0.000 0.000 0.250
Pm2 0.140 0.226 0.000
Dy1 0.000 0.500 0.250
Dy2 0.099 0.329 0.500
Dy3 0.240 0.500 0.250
Cd1 0.136 0.137 0.500
# - formation energy (eV per atom) = 0.1396
# - ρ (g/cm³) = 7.56

---

16.
# Pm4DyCd3 PBE relaxed
data_Pm4DyCd3
_chemical_formula_sum 'Pm4 Dy1 Cd3'
_space_group_name_H-M_alt 'P m m m'
_space_group_IT_number 47
_cell_length_a 3.791
_cell_length_b 5.519
_cell_length_c 11.163
_cell_angle_alpha 90.00
_cell_angle_beta 90.00
_cell_angle_gamma 90.00
loop_
_space_group_symop_operation_xyz
'x,y,z'
'-x,-y,-z'
'-x,-y,z'
'x,y,-z'
'x,-y,-z'
'-x,y,z'
'-x,y,-z'
'x,-y,z'
loop_
_atom_site_label
_atom_site_fract_x
_atom_site_fract_y
_atom_site_fract_z
Pm1 0.000 0.000 0.000
Pm2 0.000 0.000 0.500
Pm3 0.000 0.500 0.238
Dy1 0.500 0.500 0.500
Cd1 0.500 0.000 0.253
Cd2 0.500 0.500 0.000
# - formation energy (eV per atom) = -0.1901
# - ρ (g/cm³) = 7.68

---

17.
# Pm6Dy2Cd PBE relaxed
data_Pm6Dy2Cd
_chemical_formula_sum 'Pm12 Dy4 Cd2'
_space_group_name_H-M_alt 'C 1 2/m 1'
_space_group_IT_number 12
_cell_length_a 17.103
_cell_length_b 9.833
_cell_length_c 3.419
_cell_angle_alpha 90.00
_cell_angle_beta 90.06
_cell_angle_gamma 90.00
loop_
_space_group_symop_operation_xyz
'x,y,z'
'-x,-y,-z'
'-x,y,-z'
'x,-y,z'
'x+1/2,y+1/2,z'
'-x+1/2,-y+1/2,-z'
'-x+1/2,y+1/2,-z'
'x+1/2,-y+1/2,z'
loop_
_atom_site_label
_atom_site_fract_x
_atom_site_fract_y
_atom_site_fract_z
Pm1 0.000 0.175 0.000
Pm2 0.164 0.336 0.000
Dy1 0.166 0.000 0.500
Cd1 0.000 0.500 0.500
# - formation energy (eV per atom) = 0.0494
# - ρ (g/cm³) = 7.55
# - excess energy over the best structure of this formula in the dataset (kcal/mol of atoms) = 0.000

---

18.
# Pm2Dy7Cd2 PBE relaxed
data_Pm2Dy7Cd2
_chemical_formula_sum 'Pm4 Dy14 Cd4'
_space_group_name_H-M_alt 'C 1 2/m 1'
_space_group_IT_number 12
_cell_length_a 9.140
_cell_length_b 9.543
_cell_length_c 8.078
_cell_angle_alpha 90.00
_cell_angle_beta 104.40
_cell_angle_gamma 90.00
loop_
_space_group_symop_operation_xyz
'x,y,z'
'-x,-y,-z'
'-x,y,-z'
'x,-y,z'
'x+1/2,y+1/2,z'
'-x+1/2,-y+1/2,-z'
'-x+1/2,y+1/2,-z'
'x+1/2,-y+1/2,z'
loop_
_atom_site_label
_atom_site_fract_x
_atom_site_fract_y
_atom_site_fract_z
Pm1 0.000 0.180 0.000
Dy1 0.000 0.000 0.500
Dy2 0.179 0.297 0.672
Dy3 0.193 0.500 0.036
Cd1 0.104 0.500 0.358
# - formation energy (eV per atom) = 0.0368
# - ρ (g/cm³) = 8.04

---

19.
# PmDy7Cd4 PBE relaxed
data_PmDy7Cd4
_chemical_formula_sum 'Pm2 Dy14 Cd8'
_space_group_name_H-M_alt 'C 1 2/m 1'
_space_group_IT_number 12
_cell_length_a 14.719
_cell_length_b 5.714
_cell_length_c 9.740
_cell_angle_alpha 90.00
_cell_angle_beta 122.01
_cell_angle_gamma 90.00
loop_
_space_group_symop_operation_xyz
'x,y,z'
'-x,-y,-z'
'-x,y,-z'
'x,-y,z'
'x+1/2,y+1/2,z'
'-x+1/2,-y+1/2,-z'
'-x+1/2,y+1/2,-z'
'x+1/2,-y+1/2,z'
loop_
_atom_site_label
_atom_site_fract_x
_atom_site_fract_y
_atom_site_fract_z
Pm1 0.000 0.000 0.000
Dy1 0.000 0.500 0.000
Dy2 0.071 0.000 0.413
Dy3 0.205 0.000 0.880
Dy4 0.237 0.500 0.692
Cd1 0.041 0.500 0.712
Cd2 0.182 0.500 0.341
# - formation energy (eV per atom) = 0.0040
# - ρ (g/cm³) = 8.28

---

20.
# Pm2DyCd PBE relaxed
data_Pm2DyCd
_chemical_formula_sum 'Pm8 Dy4 Cd4'
_space_group_name_H-M_alt 'F m -3 m'
_space_group_IT_number 225
_space_group_name_Hall '-F 4 2 3'
_cell_length_a 7.823
_cell_length_b 7.823
_cell_length_c 7.823
_cell_angle_alpha 90.00
_cell_angle_beta 90.00
_cell_angle_gamma 90.00
loop_
_atom_site_label
_atom_site_fract_x
_atom_site_fract_y
_atom_site_fract_z
Pm1 0.250 0.250 0.250
Dy1 0.000 0.000 0.000
Cd1 0.000 0.000 0.500
# - formation energy (eV per atom) = -0.0392
# - ρ (g/cm³) = 7.84
# - excess energy over the best structure of this formula in the dataset (kcal/mol of atoms) = 2.639